First-principles (PBE+U) data for crystalline Cs3Ba2MoO6 at its relaxed geometry, as listed in Alexandria via LeMat-Bulk.

a = 6.566 Å, b = 11.346 Å, c = 7.106 Å
α = 90.00°, β = 107.40°, γ = 90.00°
Space group C2/m (No. 12)
One atom of each set of equivalent atoms:
Cs: 0.000 0.000 0.000 x2
Cs: 0.000 0.338 0.000 x4
Ba: 0.000 0.166 0.500 x4
Mo: 0.000 0.500 0.500 x2
O: 0.187 0.373 0.671 x8
O: 0.208 0.500 0.322 x4

**Total energy**: -65.3 eV/f.u.